La5CdTc: relaxed, PBE-GGA.

extended XYZ file:
```
7
Lattice="5.075 0.000 0.000 0.000 5.075 0.000 0.000 0.000 8.455" Properties=species:S:1:pos:R:3 pbc="T T T"
La 0.000 0.000 0.000
La 0.000 2.537 2.557
La 0.000 2.537 5.898
La 2.537 0.000 2.557
La 2.537 0.000 5.898
Cd 2.537 2.537 0.000
Tc 0.000 0.000 4.227
```

## Properties
Crystal system: tetragonal
Space-group type: P4/mmm
Energy of formation, kJ/mol of formula units: -21

La8Cd3Tc2: relaxed, PBE-GGA.

extended XYZ file:
```
13
Lattice="7.710 0.000 0.000 0.000 5.264 0.000 -3.455 0.000 9.538" Properties=species:S:1:pos:R:3 pbc="T T T"
La -0.334 0.000 1.747
La -0.936 2.632 6.655
La 2.094 2.632 0.519
La 1.207 0.000 6.430
La 3.048 0.000 3.108
La 2.161 2.632 9.018
La 5.191 2.632 2.882
La 4.589 0.000 7.791
Cd -1.728 0.000 4.769
Cd 0.896 2.632 3.764
Cd 3.359 2.632 5.773
Tc -0.518 0.000 8.683
Tc 4.773 0.000 0.854
```

## Properties
Crystal system: monoclinic
Space-group type: P2/m
Energy of formation, kJ/mol of formula units: -104

LaCd2Tc: relaxed, PBE-GGA.

extended XYZ file:
```
4
Lattice="1.685 0.973 9.639 -1.685 0.973 9.639 0.000 -1.946 9.639" Properties=species:S:1:pos:R:3 pbc="T T T"
La 0.000 0.000 0.000
Cd 0.000 0.000 6.668
Cd 0.000 0.000 13.801
Tc 0.000 0.000 21.334
```

## Properties
Crystal system: trigonal
Space-group type: R3m
Energy above the lowest structure with this stoichiometry, meV per atom: 259
Energy of formation, kJ/mol of formula units: 132

LaCd2Tc: relaxed, PBE-GGA.

extended XYZ file:
```
4
Lattice="-1.783 2.380 5.313 1.783 -2.380 5.313 1.783 2.380 -5.313" Properties=species:S:1:pos:R:3 pbc="T T T"
La 0.000 0.000 0.000
Cd 1.783 0.000 2.988
Cd 0.000 2.380 2.325
Tc 0.000 0.000 5.313
```

## Properties
Crystal system: orthorhombic
Space-group type: Immm
Energy above the lowest structure with this stoichiometry, meV per atom: 0
Energy of formation, kJ/mol of formula units: 32

LaCd2Tc: relaxed, PBE-GGA.

extended XYZ file:
```
4
Lattice="2.783 -4.509 0.000 2.783 4.509 0.000 0.000 0.000 3.591" Properties=species:S:1:pos:R:3 pbc="T T T"
La 0.000 0.000 0.000
Cd 1.391 2.255 1.795
Cd 1.391 -2.255 1.795
Tc 2.783 0.000 0.000
```

## Properties
Crystal system: orthorhombic
Space-group type: Cmmm
Energy above the lowest structure with this stoichiometry, meV per atom: 210
Energy of formation, kJ/mol of formula units: 113

LaCd2Tc: relaxed, PBE-GGA.

extended XYZ file:
```
4
Lattice="3.240 0.000 0.000 0.000 5.232 0.000 -1.560 0.000 5.221" Properties=species:S:1:pos:R:3 pbc="T T T"
La 0.000 0.000 0.000
Cd 0.057 2.616 3.778
Cd 1.622 2.616 1.443
Tc -0.780 0.000 2.610
```

## Properties
Crystal system: monoclinic
Space-group type: P2/m
Energy above the lowest structure with this stoichiometry, meV per atom: 53
Energy of formation, kJ/mol of formula units: 53